(1)
Density functional theory data (PBE-GGA) for an optimized crystal structure of Nb3Cr.

It has space group Pmm2 (No. 25), with a = 2.634 Å, b = 2.956 Å, c = 9.048 Å, α = 90.00°, β = 90.00° and γ = 90.00°. The inequivalent atoms are Nb at (0.000, 0.000, 0.000), Nb at (0.000, 0.500, 0.291), Nb at (0.500, 0.500, 0.743) and Cr at (0.500, 0.000, 0.507).

Its formation energy from the elements is 0.554 eV/atom.

(2)
Density functional theory data (PBE-GGA) for an optimized crystal structure of MgGaAsBr2.

It has space group P4/mmm (No. 123), with a = 5.174 Å, b = 5.174 Å, c = 5.176 Å, α = 90.00°, β = 90.00° and γ = 90.00°. The inequivalent atoms are Mg at (0.000, 0.000, 0.000), Ga at (0.500, 0.500, 0.500), As at (0.500, 0.500, 0.000) and Br at (0.000, 0.500, 0.500).

(3)
Density functional theory data (PBE-GGA) for an optimized crystal structure of Rb2Tl2AgSe4.

It has space group C2/m (No. 12), with a = 17.177 Å, b = 4.551 Å, c = 7.819 Å, α = 90.00°, β = 105.92° and γ = 90.00°. The inequivalent atoms are Rb at (0.117, 0.000, 0.036), Tl at (0.160, 0.500, 0.518), Ag at (0.000, 0.000, 0.500), Se at (0.017, 0.500, 0.270) and Se at (0.223, 0.000, 0.711).

(4)
Density functional theory data (PBE-GGA) for an optimized crystal structure of Be9VW2.

It has space group R-3m (No. 166, hexagonal axes), with a = 4.4102 Å, b = 4.4102 Å, c = 20.6184 Å, α = 90.00°, β = 90.00° and γ = 120.00°. The inequivalent atoms are Be at (0.0000, 0.0000, 0.0000), Be at (0.0000, 0.0000, 0.1656), Be at (0.0045, 0.5023, 0.4184), V at (0.0000, 0.0000, 0.5000) and W at (0.0000, 0.0000, 0.3563).

Its formation energy from the elements is -0.216 eV/atom.

Number 1: VASP energy -9.404 eV/atom. Number 2: VASP energy -2.554 eV/atom. Number 3: VASP energy -3.098 eV/atom. Number 4: VASP energy -5.929 eV/atom.